(1)
PBE-GGA HfZrTl, optimized geometry; volume = 23.27 A^3/atom; formation energy = -0.03 eV/atom; E_tot = -41.93 eV/cell; crystal system = triclinic
1.0
3.131 0.000 0.000
-0.176 6.290 0.000
-1.515 -1.555 7.090
Hf Zr Tl
2 2 2
Direct
0.172 0.339 0.348 Hf
0.828 0.661 0.652 Hf
0.177 0.833 0.343 Zr
0.823 0.167 0.657 Zr
0.500 0.000 0.000 Tl
0.500 0.500 0.000 Tl

(2)
PBE-GGA Hf5Zr2Tl4, optimized geometry; volume = 24.91 A^3/atom; formation energy = 0.28 eV/atom; E_tot = -73.29 eV/cell; crystal system = orthorhombic
1.0
-1.601 4.002 10.687
1.601 -4.002 10.687
1.601 4.002 -10.687
Hf Zr Tl
5 2 4
Direct
0.000 0.000 0.000 Hf
0.052 0.369 0.682 Hf
0.313 0.631 0.682 Hf
0.687 0.369 0.318 Hf
0.948 0.631 0.318 Hf
0.395 0.895 0.500 Zr
0.605 0.105 0.500 Zr
0.259 0.759 0.500 Tl
0.314 0.500 0.814 Tl
0.686 0.500 0.186 Tl
0.741 0.241 0.500 Tl

(3)
PBE-GGA HfZr2Tl, optimized geometry; volume = 22.36 A^3/atom; formation energy = -0.07 eV/atom; E_tot = -29.68 eV/cell; crystal system = tetragonal
1.0
4.484 0.000 0.000
0.000 4.484 0.000
0.000 0.000 4.449
Hf Zr Tl
1 2 1
Direct
0.000 0.000 0.000 Hf
0.000 0.500 0.500 Zr
0.500 0.000 0.500 Zr
0.500 0.500 0.000 Tl

(4)
PBE-GGA HfZrTl3, optimized geometry; volume = 32.05 A^3/atom; formation energy = 0.97 eV/atom; E_tot = -20.76 eV/cell; crystal system = cubic
1.0
5.432 0.000 0.000
0.000 5.432 0.000
0.000 0.000 5.432
Hf Zr Tl
1 1 3
Direct
0.000 0.000 0.000 Hf
0.500 0.500 0.500 Zr
0.000 0.000 0.500 Tl
0.000 0.500 0.000 Tl
0.500 0.000 0.000 Tl

(5)
PBE-GGA HfZrTl2, optimized geometry; volume = 22.64 A^3/atom; formation energy = 0.02 eV/atom; E_tot = -23.15 eV/cell; crystal system = tetragonal
1.0
3.202 0.000 0.000
0.000 3.202 0.000
0.000 0.000 8.834
Hf Zr Tl
1 1 2
Direct
0.000 0.000 0.000 Hf
0.000 0.000 0.500 Zr
0.500 0.500 0.249 Tl
0.500 0.500 0.751 Tl

(6)
PBE-GGA HfZrTl2, optimized geometry; volume = 26.44 A^3/atom; formation energy = 0.39 eV/atom; E_tot = -21.66 eV/cell; crystal system = trigonal
1.0
2.230 1.288 6.138
-2.230 1.288 6.138
0.000 -2.575 6.138
Hf Zr Tl
1 1 2
Direct
0.000 0.000 0.000 Hf
0.181 0.181 0.181 Zr
0.591 0.591 0.591 Tl
0.761 0.761 0.761 Tl

(7)
PBE-GGA TmHf4, optimized geometry; volume = 26.07 A^3/atom; formation energy = 1.48 eV/atom; E_tot = -36.88 eV/cell; crystal system = cubic
1.0
5.071 0.000 0.000
0.000 5.071 0.000
0.000 0.000 5.071
Tm Hf
1 4
Direct
0.000 0.000 0.000 Tm
0.000 0.000 0.500 Hf
0.000 0.500 0.000 Hf
0.500 0.000 0.000 Hf
0.500 0.500 0.500 Hf

(8)
PBE-GGA TmHf2, optimized geometry; volume = 25.80 A^3/atom; formation energy = 0.31 eV/atom; E_tot = -46.89 eV/cell; crystal system = cubic
1.0
0.000 4.262 4.262
4.262 0.000 4.262
4.262 4.262 0.000
Tm Hf
2 4
Direct
0.125 0.125 0.125 Tm
0.875 0.875 0.875 Tm
0.000 0.500 0.500 Hf
0.500 0.000 0.500 Hf
0.500 0.500 0.000 Hf
0.500 0.500 0.500 Hf

(9)
PBE-GGA TmHf11, optimized geometry; volume = 22.99 A^3/atom; formation energy = 0.07 eV/atom; E_tot = -113.10 eV/cell; crystal system = hexagonal
1.0
10.078 0.000 0.000
-5.039 8.728 0.000
0.000 0.000 3.137
Tm Hf
1 11
Direct
0.000 0.000 0.000 Tm
0.000 0.500 0.000 Hf
0.177 0.353 0.500 Hf
0.177 0.823 0.500 Hf
0.333 0.667 0.000 Hf
0.353 0.177 0.500 Hf
0.500 0.000 0.000 Hf
0.500 0.500 0.000 Hf
0.647 0.823 0.500 Hf
0.667 0.333 0.000 Hf
0.823 0.177 0.500 Hf
0.823 0.647 0.500 Hf

(10)
PBE-GGA TmHf2, optimized geometry; volume = 24.75 A^3/atom; formation energy = 0.11 eV/atom; E_tot = -24.04 eV/cell; crystal system = tetragonal
1.0
-1.583 1.583 7.405
1.583 -1.583 7.405
1.583 1.583 -7.405
Tm Hf
1 2
Direct
0.000 0.000 0.000 Tm
0.321 0.321 0.000 Hf
0.679 0.679 0.000 Hf

(11)
PBE-GGA Tm4Hf, optimized geometry; volume = 33.03 A^3/atom; formation energy = 0.66 eV/atom; E_tot = -24.52 eV/cell; crystal system = cubic
1.0
5.487 0.000 0.000
0.000 5.487 0.000
0.000 0.000 5.487
Tm Hf
4 1
Direct
0.000 0.000 0.000 Tm
0.000 0.500 0.500 Tm
0.500 0.000 0.500 Tm
0.500 0.500 0.000 Tm
0.500 0.500 0.500 Hf

(12)
PBE-GGA TmHfU, optimized geometry; volume = 25.17 A^3/atom; formation energy = 0.22 eV/atom; E_tot = -50.12 eV/cell; crystal system = monoclinic
1.0
7.773 -1.772 0.000
7.773 1.772 0.000
-0.375 0.000 5.485
Tm Hf U
2 2 2
Direct
0.093 0.093 0.338 Tm
0.907 0.907 0.662 Tm
0.423 0.423 0.161 Hf
0.577 0.577 0.839 Hf
0.241 0.241 0.839 U
0.759 0.759 0.161 U